Below is a relaxed La5YCd3 crystal, with properties calculated at the PBE level.

POSCAR file:
```
La5YCd3
1.0
9.617 0.000 0.000
-4.809 8.329 0.000
0.000 0.000 7.142
La Y Cd
10 2 6
direct
0.000 0.338 0.250
0.000 0.662 0.750
0.333 0.667 0.000
0.333 0.667 0.500
0.338 0.000 0.250
0.338 0.338 0.750
0.662 0.000 0.750
0.662 0.662 0.250
0.667 0.333 0.000
0.667 0.333 0.500
0.000 0.000 0.000
0.000 0.000 0.500
0.000 0.322 0.750
0.000 0.678 0.250
0.322 0.000 0.750
0.322 0.322 0.250
0.678 0.000 0.250
0.678 0.678 0.750
```

crystal system = hexagonal
total DFT energy (no corrections) = -3.95 eV/atom
energy relative to the elements = -185 meV/atom
magnetic moment = 0.0 μB per formula unit

=====

Below is a relaxed LaY2Cd6 crystal, with properties calculated at the PBE level.

POSCAR file:
```
LaY2Cd6
1.0
8.709 0.000 0.000
-4.355 7.542 0.000
0.000 0.000 3.486
La Y Cd
1 2 6
direct
0.000 0.000 0.000
0.333 0.667 0.000
0.667 0.333 0.000
0.000 0.337 0.500
0.000 0.663 0.500
0.337 0.000 0.500
0.337 0.337 0.500
0.663 0.000 0.500
0.663 0.663 0.500
```

crystal system = hexagonal
total DFT energy (no corrections) = -2.94 eV/atom
energy relative to the elements = -342 meV/atom
magnetic moment = 0.0 μB per formula unit

=====

Below is a relaxed LaY2Cd crystal, with properties calculated at the PBE level.

POSCAR file:
```
LaY2Cd
1.0
3.633 0.000 0.000
0.000 5.175 0.000
-1.493 0.000 6.612
La Y Cd
1 2 1
direct
0.000 0.000 0.000
0.404 0.500 0.731
0.596 0.500 0.269
0.000 0.000 0.500
```

crystal system = monoclinic
total DFT energy (no corrections) = -4.76 eV/atom
energy relative to the elements = -70 meV/atom
magnetic moment = 0.0 μB per formula unit